AcPd7Pb2 after structural relaxation. Source: Alexandria, functional PBE-GGA.

```
10
Lattice="4.632 0.000 0.000 0.000 7.926 -0.578 0.000 -4.016 6.858" Properties=species:S:1:pos:R:3 pbc="T T T"
Ac 0.000 0.000 0.000
Pd 0.000 5.511 0.926
Pd 0.000 -1.600 5.354
Pd 2.316 -0.578 1.940
Pd 2.316 4.488 4.340
Pd 2.316 1.996 0.337
Pd 2.316 1.915 5.943
Pd 2.316 1.955 3.140
Pb 2.316 4.324 1.665
Pb 2.316 -0.414 4.615
```

## Properties
DOS(E_F): 3.523 states/eV/f.u.
energy relative to the elements: -0.1115 eV per atom
space group: No. 65